Entry 1:
{
  "formula": "CsSiAgSe3",
  "functional": "PBE",
  "state": "optimized geometry",
  "final_energy_ha_per_atom": -0.137,
  "sg": "Pnma (62)",
  "lattice": [[15.9731, 0.0000, 0.0000], [0.0000, 3.8910, 0.0000], [0.0000, 0.0000, 10.6511]],
  "species": ["Cs", "Cs", "Cs", "Cs", "Se", "Se", "Se", "Se", "Se", "Se", "Se", "Se", "Se", "Se", "Se", "Se", "Ag", "Ag", "Ag", "Ag", "Si", "Si", "Si", "Si"],
  "fractional_positions": [[0.7734, 0.7500, 0.0333], [0.2734, 0.7500, 0.4667], [0.7266, 0.2500, 0.5333], [0.2266, 0.2500, 0.9667], [0.4208, 0.7500, 0.9407], [0.9198, 0.2500, 0.8306], [0.6102, 0.7500, 0.7882], [0.0802, 0.7500, 0.1694], [0.4198, 0.2500, 0.6694], [0.3898, 0.2500, 0.2118], [0.8898, 0.2500, 0.2882], [0.5792, 0.2500, 0.0593], [0.1102, 0.7500, 0.7118], [0.9208, 0.7500, 0.5593], [0.0792, 0.2500, 0.4407], [0.5802, 0.7500, 0.3306], [0.4736, 0.2500, 0.4202], [0.5264, 0.7500, 0.5798], [0.0264, 0.7500, 0.9202], [0.9736, 0.2500, 0.0798], [0.0123, 0.2500, 0.6466], [0.5123, 0.2500, 0.8534], [0.9877, 0.7500, 0.3534], [0.4877, 0.7500, 0.1466]]
}

Entry 2:
{
  "formula": "CsSiAgTeSe2",
  "functional": "PBE",
  "state": "optimized geometry",
  "final_energy_ha_per_atom": -0.129,
  "sg": "Cmcm (63)",
  "lattice": [[-2.8070, 4.4408, -7.1693], [1.1900, -7.0714, 5.2516], [-9.6241, 2.1831, 5.1204]],
  "species": ["Si", "Si", "Ag", "Ag", "Te", "Te", "Se", "Se", "Se", "Se", "Cs", "Cs"],
  "fractional_positions": [[0.5000, 0.5000, 0.5000], [0.5000, 0.5000, 0.0000], [0.0839, 0.9161, 0.2500], [0.9161, 0.0839, 0.7500], [0.5465, 0.4535, 0.7500], [0.4535, 0.5465, 0.2500], [0.8963, 0.1037, 0.5230], [0.1037, 0.8963, 0.4770], [0.8963, 0.1037, 0.9770], [0.1037, 0.8963, 0.0230], [0.7628, 0.2372, 0.2500], [0.2372, 0.7628, 0.7500]]
}

Entry 3:
{
  "formula": "CsSmAgSe3",
  "functional": "PBE",
  "state": "optimized geometry",
  "final_energy_ha_per_atom": -0.157,
  "sg": "Cmcm (63)",
  "lattice": [[2.1187, -8.0227, 0.0000], [2.1187, 8.0227, 0.0000], [0.0000, 0.0000, 11.1161]],
  "species": ["Se", "Se", "Se", "Se", "Se", "Se", "Cs", "Cs", "Ag", "Ag", "Sm", "Sm"],
  "fractional_positions": [[0.0612, 0.9388, 0.2500], [0.3765, 0.6235, 0.0472], [0.3765, 0.6235, 0.4528], [0.6235, 0.3765, 0.5472], [0.6235, 0.3765, 0.9528], [0.9388, 0.0612, 0.7500], [0.7454, 0.2546, 0.2500], [0.2546, 0.7454, 0.7500], [0.4601, 0.5399, 0.2500], [0.5399, 0.4601, 0.7500], [0.0000, 0.0000, 0.5000], [0.0000, 0.0000, 0.0000]]
}

Q: Number 2 is which compound?
A: CsSiAgTeSe2